# PBE-GGA PrMgCrN3, optimized geometry
data_PrMgCrN3
_cell_length_a 7.161
_cell_length_b 3.375
_cell_length_c 7.236
_cell_angle_alpha 90.00
_cell_angle_beta 105.14
_cell_angle_gamma 90.00
_space_group_name_H-M_alt 'P 1 21/m 1'
_space_group_IT_number 11
loop_
_space_group_symop_operation_xyz
'x,y,z'
'-x,-y,-z'
'-x,y+1/2,-z'
'x,-y+1/2,z'
loop_
_atom_site_label
_atom_site_fract_x
_atom_site_fract_y
_atom_site_fract_z
_atom_site_occupancy
Pr1 0.222 0.250 0.210 1
Mg1 0.369 0.750 0.857 1
Cr1 0.094 0.250 0.608 1
N1 0.110 0.250 0.847 1
N2 0.173 0.750 0.527 1
N3 0.433 0.750 0.164 1
# Energy = -90.79 eV for the cell shown
# Raw formation energy = -0.737 eV/atom

---

# PBE-GGA KBBr3, optimized geometry
data_KBBr3
_cell_length_a 7.269
_cell_length_b 8.035
_cell_length_c 12.670
_cell_angle_alpha 90.00
_cell_angle_beta 123.44
_cell_angle_gamma 90.00
_space_group_name_H-M_alt 'P 1 21/c 1'
_space_group_IT_number 14
loop_
_space_group_symop_operation_xyz
'x,y,z'
'-x,-y,-z'
'-x,y+1/2,-z+1/2'
'x,-y+1/2,z+1/2'
loop_
_atom_site_label
_atom_site_fract_x
_atom_site_fract_y
_atom_site_fract_z
_atom_site_occupancy
K1 0.214 0.091 0.249 1
B1 0.080 0.582 0.045 1
Br1 0.113 0.224 0.956 1
Br2 0.261 0.684 0.979 1
Br3 0.300 0.518 0.233 1
# Energy = -70.45 eV for the cell shown
# Raw formation energy = -0.964 eV/atom

---

# PBE-GGA HfPaCd, optimized geometry
data_HfPaCd
_cell_length_a 3.1232
_cell_length_b 3.1232
_cell_length_c 8.2928
_cell_angle_alpha 90.00
_cell_angle_beta 90.00
_cell_angle_gamma 120.00
_space_group_name_H-M_alt 'P 3 m 1'
_space_group_IT_number 156
loop_
_space_group_symop_operation_xyz
'x,y,z'
'-y,x-y,z'
'-x+y,-x,z'
'-y,-x,z'
'-x+y,y,z'
'x,x-y,z'
loop_
_atom_site_label
_atom_site_fract_x
_atom_site_fract_y
_atom_site_fract_z
_atom_site_occupancy
Hf1 0.0000 0.0000 0.0000 1
Pa1 0.6667 0.3333 0.3300 1
Cd1 0.3333 0.6667 0.6816 1
# Energy = -20.17 eV for the cell shown
# ΔH_f (0 K) = 6 kJ/mol of atoms

---

Number 1: D(E_F) 2.31 states/eV/f.u.. Number 2: D(E_F) 0.00 states/eV/f.u.. Number 3: D(E_F) 4.28 states/eV/f.u..